(1)
# PPt2Cl PBE optimized geometry
# Formation energy without anion corrections in kJ/mol of formula units: 171
# Total DFT energy (no corrections) in eV per atom: -4.392
# Volume in Å³/atom: 18.3
data_PPt2Cl
_cell_length_a 3.458
_cell_length_b 3.458
_cell_length_c 12.260
_cell_angle_alpha 90.00
_cell_angle_beta 90.00
_cell_angle_gamma 90.00
_symmetry_space_group_name_H-M 'I -4 m 2'
_symmetry_Int_Tables_number 119
_symmetry_space_group_name_Hall 'I -4 -2'
loop_
_atom_site_label
_atom_site_type_symbol
_atom_site_fract_x
_atom_site_fract_y
_atom_site_fract_z
P1 P 0.000 0.000 0.000
Pt1 Pt 0.000 0.000 0.500
Pt2 Pt 0.000 0.500 0.750
Cl1 Cl 0.000 0.500 0.250


(2)
# Pm5Sm4Cd2 PBE optimized geometry
# Total DFT energy (no corrections) in eV per atom: -4.047
# Volume in Å³/atom: 31.9
data_Pm5Sm4Cd2
_cell_length_a 8.764
_cell_length_b 3.543
_cell_length_c 11.344
_cell_angle_alpha 90.00
_cell_angle_beta 94.22
_cell_angle_gamma 90.00
_symmetry_space_group_name_H-M 'P 1 2/m 1'
_symmetry_Int_Tables_number 10
_symmetry_space_group_name_Hall '-P 2y'
loop_
_atom_site_label
_atom_site_type_symbol
_atom_site_fract_x
_atom_site_fract_y
_atom_site_fract_z
Pm1 Pm 0.000 0.000 0.000
Pm2 Pm 0.060 0.000 0.301
Pm3 Pm 0.298 0.000 0.835
Sm1 Sm 0.239 0.500 0.549
Sm2 Sm 0.350 0.500 0.123
Cd1 Cd 0.442 0.000 0.367


(3)
# Na4TmSc3Se8 PBE optimized geometry
# Formation energy without anion corrections in kJ/mol of formula units: -2487
# Total DFT energy (no corrections) in eV per atom: -5.150
# Volume in Å³/atom: 23.9
data_Na4TmSc3Se8
_cell_length_a 7.9656
_cell_length_b 7.9656
_cell_length_c 20.9014
_cell_angle_alpha 90.00
_cell_angle_beta 90.00
_cell_angle_gamma 120.00
_symmetry_space_group_name_H-M 'R -3 m'
_symmetry_Int_Tables_number 166
_symmetry_space_group_name_Hall '-R 3 2"'
loop_
_atom_site_label
_atom_site_type_symbol
_atom_site_fract_x
_atom_site_fract_y
_atom_site_fract_z
Na1 Na 0.0000 0.0000 0.0000
Na2 Na 0.0000 0.5000 0.0000
Tm1 Tm 0.0000 0.0000 0.5000
Sc1 Sc 0.0000 0.5000 0.5000
Se1 Se 0.0000 0.0000 0.2390
Se2 Se 0.0078 0.5039 0.7595


(4)
# Tb8CeIn2 PBE optimized geometry
# Total DFT energy (no corrections) in eV per atom: -4.433
# Volume in Å³/atom: 31.4
data_Tb8CeIn2
_cell_length_a 16.976
_cell_length_b 6.639
_cell_length_c 6.292
_cell_angle_alpha 90.00
_cell_angle_beta 103.26
_cell_angle_gamma 90.00
_symmetry_space_group_name_H-M 'C 1 2/m 1'
_symmetry_Int_Tables_number 12
_symmetry_space_group_name_Hall '-C 2y'
loop_
_atom_site_label
_atom_site_type_symbol
_atom_site_fract_x
_atom_site_fract_y
_atom_site_fract_z
Tb1 Tb 0.083 0.000 0.421
Tb2 Tb 0.099 0.248 0.961
Tb3 Tb 0.222 0.500 0.667
Ce1 Ce 0.000 0.500 0.500
In1 In 0.244 0.000 0.807


(5)
# CdGeSb2I PBE optimized geometry
# Formation energy without anion corrections in kJ/mol of formula units: 383
# Total DFT energy (no corrections) in eV per atom: -2.272
# Volume in Å³/atom: 35.3
data_CdGeSb2I
_cell_length_a 5.503
_cell_length_b 5.503
_cell_length_c 5.830
_cell_angle_alpha 90.00
_cell_angle_beta 90.00
_cell_angle_gamma 90.00
_symmetry_space_group_name_H-M 'P 4/m m m'
_symmetry_Int_Tables_number 123
_symmetry_space_group_name_Hall '-P 4 2'
loop_
_atom_site_label
_atom_site_type_symbol
_atom_site_fract_x
_atom_site_fract_y
_atom_site_fract_z
Cd1 Cd 0.000 0.000 0.000
Ge1 Ge 0.500 0.500 0.500
Sb1 Sb 0.000 0.500 0.000
I1 I 0.000 0.000 0.500


(6)
# CsAl2CuI8 PBE optimized geometry
# Formation energy without anion corrections in kJ/mol of formula units: -822
# Total DFT energy (no corrections) in eV per atom: -2.780
# Volume in Å³/atom: 42.3
data_CsAl2CuI8
_cell_length_a 7.4257
_cell_length_b 7.4257
_cell_length_c 10.6225
_cell_angle_alpha 90.00
_cell_angle_beta 90.00
_cell_angle_gamma 120.00
_symmetry_space_group_name_H-M 'P -3'
_symmetry_Int_Tables_number 147
_symmetry_space_group_name_Hall '-P 3'
loop_
_atom_site_label
_atom_site_type_symbol
_atom_site_fract_x
_atom_site_fract_y
_atom_site_fract_z
Cs1 Cs 0.0000 0.0000 0.0000
Al1 Al 0.3333 0.6667 0.7363
Cu1 Cu 0.0000 0.0000 0.5000
I1 I 0.0148 0.3226 0.6630
I2 I 0.3333 0.6667 0.9779


Please write out number 5 again, unchanged.
# CdGeSb2I PBE optimized geometry
# Formation energy without anion corrections in kJ/mol of formula units: 383
# Total DFT energy (no corrections) in eV per atom: -2.272
# Volume in Å³/atom: 35.3
data_CdGeSb2I
_cell_length_a 5.503
_cell_length_b 5.503
_cell_length_c 5.830
_cell_angle_alpha 90.00
_cell_angle_beta 90.00
_cell_angle_gamma 90.00
_symmetry_space_group_name_H-M 'P 4/m m m'
_symmetry_Int_Tables_number 123
_symmetry_space_group_name_Hall '-P 4 2'
loop_
_atom_site_label
_atom_site_type_symbol
_atom_site_fract_x
_atom_site_fract_y
_atom_site_fract_z
Cd1 Cd 0.000 0.000 0.000
Ge1 Ge 0.500 0.500 0.500
Sb1 Sb 0.000 0.500 0.000
I1 I 0.000 0.000 0.500